The following is a PBE-GGA calculation of crystalline CaBe2H at its relaxed geometry, from Alexandria via LeMat-Bulk.

Space group: I4_1/amd (141)
Total magnetic moment in μB/atom: 0.0000
Distance to the lowest polymorph of the same formula in eV/atom: 0.0000

abc: 5.241 5.241 7.404
angles: 90.00 90.00 90.00
Atoms (fractional coordinates):
Ca  0.000  0.250  0.375
Ca  0.000  0.750  0.625
Ca  0.500  0.250  0.125
Ca  0.500  0.750  0.875
Be  0.000  0.000  0.000
Be  0.000  0.500  0.000
Be  0.250  0.250  0.750
Be  0.250  0.750  0.250
Be  0.500  0.000  0.500
Be  0.500  0.500  0.500
Be  0.750  0.250  0.750
Be  0.750  0.750  0.250
H  0.000  0.250  0.875
H  0.000  0.750  0.125
H  0.500  0.250  0.625
H  0.500  0.750  0.375

The following is a PBE-GGA calculation of crystalline CaBeH4 at its relaxed geometry, from Alexandria via LeMat-Bulk.

Space group: P2_1/c (14)
Total magnetic moment in μB/atom: 0.0000
Distance to the lowest polymorph of the same formula in eV/atom: 0.0000

abc: 5.880 6.453 7.563
angles: 90.00 126.50 90.00
Atoms (fractional coordinates):
Ca  0.191  0.168  0.285
Ca  0.191  0.332  0.785
Ca  0.809  0.668  0.215
Ca  0.809  0.832  0.715
Be  0.294  0.668  0.192
Be  0.294  0.832  0.692
Be  0.706  0.168  0.308
Be  0.706  0.332  0.808
H  0.088  0.664  0.611
H  0.088  0.836  0.111
H  0.194  0.514  0.265
H  0.194  0.986  0.765
H  0.310  0.613  0.015
H  0.310  0.887  0.515
H  0.425  0.229  0.137
H  0.425  0.271  0.637
H  0.575  0.729  0.363
H  0.575  0.771  0.863
H  0.690  0.113  0.485
H  0.690  0.387  0.985
H  0.806  0.014  0.235
H  0.806  0.486  0.735
H  0.912  0.164  0.889
H  0.912  0.336  0.389

The following is a PBE-GGA calculation of crystalline CaBe2InH at its relaxed geometry, from Alexandria via LeMat-Bulk.

Space group: P4/mmm (123)
Total magnetic moment in μB/atom: 0.0000

abc: 4.228 4.228 4.185
angles: 90.00 90.00 90.00
Atoms (fractional coordinates):
Ca  0.000  0.000  0.000
Be  0.000  0.500  0.500
Be  0.500  0.000  0.500
In  0.500  0.500  0.000
H  0.000  0.000  0.500

The following is a PBE-GGA calculation of crystalline KCaBeH6 at its relaxed geometry, from Alexandria via LeMat-Bulk.

Space group: P3m1 (156)
Total magnetic moment in μB/atom: 0.0000

abc: 4.950 4.950 4.223
angles: 90.00 90.00 120.00
Atoms (fractional coordinates):
K  0.000  0.000  0.000
Ca  0.333  0.667  0.486
Be  0.667  0.333  0.707
H  0.368  0.184  0.495
H  0.510  0.020  0.922
H  0.510  0.490  0.922
H  0.816  0.184  0.495
H  0.816  0.632  0.495
H  0.980  0.490  0.922

The following is a PBE-GGA calculation of crystalline CaMgBe2H8 at its relaxed geometry, from Alexandria via LeMat-Bulk.

Space group: P-3 (147)
Total magnetic moment in μB/atom: 0.0000

abc: 4.361 4.361 6.658
angles: 90.00 90.00 120.00
Atoms (fractional coordinates):
Ca  0.000  0.000  0.000
Mg  0.000  0.000  0.500
Be  0.333  0.667  0.750
Be  0.667  0.333  0.250
H  0.039  0.339  0.694
H  0.300  0.961  0.694
H  0.333  0.667  0.965
H  0.339  0.300  0.306
H  0.661  0.700  0.694
H  0.667  0.333  0.035
H  0.700  0.039  0.306
H  0.961  0.661  0.306

The following is a PBE-GGA calculation of crystalline Na2CaBeH at its relaxed geometry, from Alexandria via LeMat-Bulk.

Space group: P4/mmm (123)
Total magnetic moment in μB/atom: 0.0000

abc: 5.176 5.176 5.672
angles: 90.00 90.00 90.00
Atoms (fractional coordinates):
Na  0.000  0.500  0.000
Na  0.500  0.000  0.000
Ca  0.000  0.000  0.500
Be  0.000  0.000  0.000
H  0.500  0.500  0.500

Number 1: total energy -2.81 eV/atom. Number 2: total energy -3.59 eV/atom. Number 3: total energy -2.77 eV/atom. Number 4: total energy -3.06 eV/atom. Number 5: total energy -3.42 eV/atom. Number 6: total energy -1.61 eV/atom.